[1]
The following is a DFT calculation (PBE-GGA) of a geometry-optimized Dy4CdPdAu2 structure.

Density = 11.16 g/cm3
ΔE_f = -732 meV per atom
Spin magnetization = 0.0 Bohr magnetons per cell

a = 5.0995 Å, b = 5.0995 Å, c = 25.0213 Å
α = 90.00°, β = 90.00°, γ = 120.00°
Space group R-3m (No. 166, hexagonal axes)
One atom of each set of equivalent atoms:
Dy 0.0000 0.0000 0.1187 x6
Dy 0.0000 0.0000 0.3700 x6
Cd 0.0000 0.0000 0.5000 x3
Pd 0.0000 0.0000 0.0000 x3
Au 0.0000 0.0000 0.2420 x6

=====

[2]
The following is a DFT calculation (PBE-GGA) of a geometry-optimized PmDy2CdAu4 structure.

Density = 12.40 g/cm3
ΔE_f = -741 meV per atom
Spin magnetization = 0.0 Bohr magnetons per cell

a = 5.0498 Å, b = 5.0498 Å, c = 24.9180 Å
α = 90.00°, β = 90.00°, γ = 120.00°
Space group R-3m (No. 166, hexagonal axes)
One atom of each set of equivalent atoms:
Pm 0.0000 0.0000 0.0000 x3
Dy 0.0000 0.0000 0.2419 x6
Cd 0.0000 0.0000 0.5000 x3
Au 0.0000 0.0000 0.1211 x6
Au 0.0000 0.0000 0.3714 x6

=====

[3]
The following is a DFT calculation (PBE-GGA) of a geometry-optimized Pm2DyCdAu4 structure.

Density = 11.93 g/cm3
ΔE_f = -761 meV per atom
Spin magnetization = 0.0 Bohr magnetons per cell

a = 5.0823 Å, b = 5.0823 Å, c = 25.2598 Å
α = 90.00°, β = 90.00°, γ = 120.00°
Space group R-3m (No. 166, hexagonal axes)
One atom of each set of equivalent atoms:
Pm 0.0000 0.0000 0.2423 x6
Dy 0.0000 0.0000 0.0000 x3
Cd 0.0000 0.0000 0.5000 x3
Au 0.0000 0.0000 0.1189 x6
Au 0.0000 0.0000 0.3649 x6

=====

[4]
The following is a DFT calculation (PBE-GGA) of a geometry-optimized PrDy2CdAu4 structure.

Density = 12.18 g/cm3
ΔE_f = -722 meV per atom
Spin magnetization = 0.0 Bohr magnetons per cell

a = 5.0367 Å, b = 5.0367 Å, c = 25.4298 Å
α = 90.00°, β = 90.00°, γ = 120.00°
Space group R-3m (No. 166, hexagonal axes)
One atom of each set of equivalent atoms:
Pr 0.0000 0.0000 0.0000 x3
Dy 0.0000 0.0000 0.2397 x6
Cd 0.0000 0.0000 0.5000 x3
Au 0.0000 0.0000 0.1208 x6
Au 0.0000 0.0000 0.3808 x6

=====

> Which value of ΔE_f does entry 2 give?

-741 meV per atom